Computed, not measured: K5NaCe2S6O24 at its PBEsol-relaxed geometry at the meta-GGA SCAN level of DFT.

Total magnetic moment (μB/f.u.): 2.000
Energy (eV/atom): -11.279
E_form (uncorrected) (eV/atom): -2.271
Symmetry: No. 12

Cell and atoms, written as POSCAR:
```
K5NaCe2S6O24
1.0
4.597 -8.136 0.000
4.597 8.136 0.000
-2.712 0.000 7.225
K Na Ce S O
5 1 2 6 24
Direct
0.000 0.000 0.000
0.119 0.430 0.379
0.430 0.119 0.379
0.570 0.881 0.621
0.881 0.570 0.621
0.000 0.000 0.500
0.358 0.642 0.000
0.642 0.358 0.000
0.036 0.707 0.179
0.293 0.964 0.821
0.404 0.404 0.693
0.596 0.596 0.307
0.707 0.036 0.179
0.964 0.293 0.821
0.066 0.428 0.733
0.079 0.355 0.014
0.083 0.882 0.279
0.118 0.917 0.721
0.202 0.718 0.182
0.269 0.269 0.521
0.282 0.798 0.818
0.355 0.079 0.014
0.358 0.358 0.862
0.424 0.575 0.294
0.425 0.576 0.706
0.428 0.066 0.733
0.572 0.934 0.267
0.575 0.424 0.294
0.576 0.425 0.706
0.642 0.642 0.138
0.645 0.921 0.986
0.718 0.202 0.182
0.731 0.731 0.479
0.798 0.282 0.818
0.882 0.083 0.279
0.917 0.118 0.721
0.921 0.645 0.986
0.934 0.572 0.267
```